# 1
MgCdInGe2, relaxed, DFT PBE; DOS(E_F) = 3.6 states/eV/cell; DFT formation energy = 0.578 eV/atom; crystal system = tetragonal
1.0
-3.610 -3.745 0.384
2.694 -2.939 -3.349
2.626 -2.123 3.975
Mg Ge In Cd
1 2 1 1
Direct
0.000 0.500 0.000
0.000 0.000 0.500
0.500 0.000 0.000
0.500 0.500 0.500
0.000 0.000 0.000

=====

# 2
Cd2InNiGe, relaxed, DFT PBE; DOS(E_F) = 2.6 states/eV/cell; DFT formation energy = 0.070 eV/atom; crystal system = tetragonal
1.0
5.094 0.000 0.000
0.000 5.094 0.000
0.000 0.000 4.447
In Cd Ni Ge
1 2 1 1
Direct
0.500 0.500 0.500
0.000 0.500 0.000
0.500 0.000 0.000
0.000 0.000 0.000
0.000 0.000 0.500